No. 1
First-principles (PBE) data for an optimized crystal structure of Ba8Sr6Rh, as listed in Alexandria via LeMat-Bulk.

Unit cell a=9.876 b=9.876 c=9.876 alpha=72.56 beta=72.56 gamma=72.56
Atoms (fractional coordinates):
Ba: 0.184 0.465 0.608
Ba: 0.246 0.246 0.246
Ba: 0.392 0.816 0.535
Ba: 0.465 0.608 0.184
Ba: 0.535 0.392 0.816
Ba: 0.608 0.184 0.465
Ba: 0.754 0.754 0.754
Ba: 0.816 0.535 0.392
Sr: 0.031 0.898 0.317
Sr: 0.102 0.683 0.969
Sr: 0.317 0.031 0.898
Sr: 0.683 0.969 0.102
Sr: 0.898 0.317 0.031
Sr: 0.969 0.102 0.683
Rh: 0.500 0.500 0.500

Summary:
Volume ... 853.2 Å³/cell
Crystal system ... trigonal
Space-group type ... R-3
DFT formation energy ... -61.4 meV/atom

***

No. 2
First-principles (PBE) data for an optimized crystal structure of YMg2Cu, as listed in Alexandria via LeMat-Bulk.

Unit cell a=7.934 b=7.934 c=7.934 alpha=143.35 beta=143.35 gamma=52.80
Atoms (fractional coordinates):
Y: 0.250 0.750 0.500
Y: 0.750 0.250 0.500
Mg: 0.000 0.500 0.500
Mg: 0.111 0.111 0.000
Mg: 0.500 0.000 0.500
Mg: 0.889 0.889 0.000
Cu: 0.365 0.365 0.000
Cu: 0.635 0.635 0.000

Summary:
Volume ... 176.9 Å³/cell
Crystal system ... tetragonal
Space-group type ... I4/mmm
DFT formation energy ... -23.1 meV/atom

***

No. 3
First-principles (PBE) data for an optimized crystal structure of FeRh2Cl, as listed in Alexandria via LeMat-Bulk.

Unit cell a=4.373 b=4.373 c=4.373 alpha=60.00 beta=60.00 gamma=60.00
Atoms (fractional coordinates):
Fe: 0.000 0.000 0.000
Rh: 0.250 0.250 0.250
Rh: 0.750 0.750 0.750
Cl: 0.500 0.500 0.500

Summary:
Volume ... 59.1 Å³/cell
Crystal system ... cubic
Formation energy (no corrections) ... 0.591 eV/atom
Space-group type ... Fm-3m

***

No. 4
First-principles (PBE) data for an optimized crystal structure of BaNiRu, as listed in Alexandria via LeMat-Bulk.

Unit cell a=4.111 b=4.111 c=5.002 alpha=90.00 beta=90.00 gamma=120.00
Atoms (fractional coordinates):
Ba: 0.000 0.000 0.000
Ni: 0.667 0.333 0.500
Ru: 0.333 0.667 0.500

Summary:
Volume ... 73.2 Å³/cell
Crystal system ... hexagonal
Space-group type ... P-6m2
DFT formation energy ... 368.8 meV/atom

***

No. 5
First-principles (PBE) data for an optimized crystal structure of Sm5Dy5Er, as listed in Alexandria via LeMat-Bulk.

Unit cell a=6.093 b=6.093 c=11.635 alpha=90.00 beta=90.00 gamma=120.00
Atoms (fractional coordinates):
Sm: 0.000 0.000 0.000
Sm: 0.333 0.667 0.316
Sm: 0.333 0.667 0.684
Sm: 0.667 0.333 0.154
Sm: 0.667 0.333 0.846
Dy: 0.000 0.000 0.265
Dy: 0.000 0.000 0.735
Dy: 0.335 0.167 0.500
Dy: 0.833 0.167 0.500
Dy: 0.833 0.665 0.500
Er: 0.333 0.667 0.000

Summary:
Volume ... 374.1 Å³/cell
Crystal system ... hexagonal
Space-group type ... P-6m2
DFT formation energy ... 310.7 meV/atom

***

No. 6
First-principles (PBE) data for an optimized crystal structure of Sm4Tm3Th, as listed in Alexandria via LeMat-Bulk.

Unit cell a=11.437 b=7.285 c=6.258 alpha=90.00 beta=90.00 gamma=90.00
Atoms (fractional coordinates):
Sm: 0.000 0.132 0.000
Sm: 0.000 0.866 0.506
Sm: 0.250 0.129 0.349
Sm: 0.250 0.871 0.849
Sm: 0.500 0.134 0.006
Sm: 0.500 0.868 0.500
Sm: 0.750 0.129 0.349
Sm: 0.750 0.871 0.849
Tm: 0.000 0.381 0.507
Tm: 0.250 0.383 0.834
Tm: 0.250 0.617 0.334
Tm: 0.500 0.619 0.007
Tm: 0.750 0.383 0.834
Tm: 0.750 0.617 0.334
Th: 0.000 0.621 0.006
Th: 0.500 0.379 0.506

Summary:
Volume ... 521.4 Å³/cell
Crystal system ... orthorhombic
Space-group type ... Pmn2_1
DFT formation energy ... 35.6 meV/atom

***

No. 7
First-principles (PBE) data for an optimized crystal structure of Na4Sn2Sb, as listed in Alexandria via LeMat-Bulk.

Unit cell a=8.599 b=8.599 c=8.599 alpha=138.45 beta=138.45 gamma=60.21
Atoms (fractional coordinates):
Na: 0.000 0.500 0.500
Na: 0.199 0.199 0.000
Na: 0.500 0.000 0.500
Na: 0.801 0.801 0.000
Sn: 0.408 0.408 0.000
Sn: 0.592 0.592 0.000
Sb: 0.000 0.000 0.000

Summary:
Volume ... 276.9 Å³/cell
Crystal system ... tetragonal
Formation energy (no corrections) ... 0.035 eV/atom
Space-group type ... I4/mmm

***

No. 8
First-principles (PBE) data for an optimized crystal structure of GaNiHg, as listed in Alexandria via LeMat-Bulk.

Unit cell a=4.925 b=4.159 c=5.385 alpha=90.00 beta=108.46 gamma=90.00
Atoms (fractional coordinates):
Ga: 0.120 0.250 0.414
Ga: 0.880 0.750 0.586
Ni: 0.381 0.750 0.587
Ni: 0.619 0.250 0.413
Hg: 0.314 0.750 0.076
Hg: 0.686 0.250 0.924

Summary:
Volume ... 104.6 Å³/cell
Crystal system ... monoclinic
Space-group type ... P2_1/m
DFT formation energy ... -107.9 meV/atom

***

No. 9
First-principles (PBE) data for an optimized crystal structure of Zn2In3Ga9, as listed in Alexandria via LeMat-Bulk.

Unit cell a=8.530 b=8.530 c=8.530 alpha=151.48 beta=99.81 gamma=87.19
Atoms (fractional coordinates):
Zn: 0.195 0.000 0.195
Zn: 0.805 0.000 0.805
In: 0.188 0.188 0.000
In: 0.500 0.500 0.000
In: 0.812 0.812 0.000
Ga: 0.000 0.500 0.500
Ga: 0.080 0.362 0.718
Ga: 0.217 0.841 0.376
Ga: 0.357 0.638 0.718
Ga: 0.466 0.841 0.624
Ga: 0.534 0.159 0.376
Ga: 0.643 0.362 0.282
Ga: 0.783 0.159 0.624
Ga: 0.920 0.638 0.282

Summary:
Volume ... 285.2 Å³/cell
Crystal system ... orthorhombic
Space-group type ... Immm
DFT formation energy ... 29.6 meV/atom

***

No. 10
First-principles (PBE) data for an optimized crystal structure of LiCd4Pd, as listed in Alexandria via LeMat-Bulk.

Unit cell a=7.265 b=7.265 c=5.474 alpha=109.13 beta=109.13 gamma=106.79
Atoms (fractional coordinates):
Li: 0.127 0.873 0.750
Li: 0.873 0.127 0.250
Cd: 0.127 0.531 0.294
Cd: 0.263 0.369 0.746
Cd: 0.369 0.263 0.246
Cd: 0.469 0.873 0.206
Cd: 0.531 0.127 0.794
Cd: 0.631 0.737 0.754
Cd: 0.737 0.631 0.254
Cd: 0.873 0.469 0.706
Pd: 0.100 0.900 0.250
Pd: 0.900 0.100 0.750

Summary:
Volume ... 231.1 Å³/cell
Crystal system ... monoclinic
Space-group type ... C2/c
DFT formation energy ... -222.9 meV/atom

***

No. 11
First-principles (PBE) data for an optimized crystal structure of Li2HgPt, as listed in Alexandria via LeMat-Bulk.

Unit cell a=9.496 b=9.496 c=9.496 alpha=156.06 beta=156.06 gamma=34.11
Atoms (fractional coordinates):
Li: 0.097 0.625 0.972
Li: 0.375 0.347 0.472
Li: 0.653 0.125 0.028
Li: 0.875 0.903 0.528
Hg: 0.250 0.750 0.500
Hg: 0.500 0.500 0.000
Pt: 0.000 0.000 0.000
Pt: 0.750 0.250 0.500

Summary:
Volume ... 140.8 Å³/cell
Crystal system ... tetragonal
Space-group type ... I-42d
DFT formation energy ... -230.7 meV/atom

***

No. 12
First-principles (PBE) data for an optimized crystal structure of Ac5Hg7, as listed in Alexandria via LeMat-Bulk.

Unit cell a=5.470 b=5.470 c=15.925 alpha=99.94 beta=99.94 gamma=59.97
Atoms (fractional coordinates):
Ac: 0.000 0.000 0.000
Ac: 0.139 0.139 0.420
Ac: 0.405 0.405 0.215
Ac: 0.595 0.595 0.785
Ac: 0.861 0.861 0.580
Hg: 0.069 0.069 0.209
Hg: 0.223 0.223 0.667
Hg: 0.300 0.300 0.902
Hg: 0.500 0.500 0.500
Hg: 0.700 0.700 0.098
Hg: 0.777 0.777 0.333
Hg: 0.931 0.931 0.791

Summary:
Volume ... 404.3 Å³/cell
Crystal system ... monoclinic
Space-group type ... C2/m
DFT formation energy ... -387.1 meV/atom